1.
This record from the Alexandria database describes AsRh2Br after structural relaxation. The functional is PBE-GGA.

## Properties
SG: P4mm, No. 99
Raw formation energy in eV/atom: 0.04
Distance to the lowest polymorph of the same formula in eV per atom: 0.237
Crystal system: tetragonal

Cell and atoms, written as CIF:
```
data_AsRh2Br
_chemical_formula_sum 'As1 Rh2 Br1'
_symmetry_space_group_name_H-M 'P 1'
_symmetry_Int_Tables_number 1
_symmetry_space_group_name_Hall 'P 1'
_cell_length_a 3.479
_cell_length_b 3.479
_cell_length_c 5.986
_cell_angle_alpha 90.00
_cell_angle_beta 90.00
_cell_angle_gamma 90.00
loop_
_atom_site_label
_atom_site_type_symbol
_atom_site_fract_x
_atom_site_fract_y
_atom_site_fract_z
As1 As 0.000 0.000 0.000
Rh1 Rh 0.000 0.000 0.597
Rh2 Rh 0.500 0.500 0.864
Br1 Br 0.500 0.500 0.443
```

=====

2.
This record from the Alexandria database describes AsRh2Br after structural relaxation. The functional is PBE-GGA.

## Properties
SG: R3m, No. 160
Raw formation energy in eV/atom: 0.05
Distance to the lowest polymorph of the same formula in eV per atom: 0.246
Crystal system: trigonal

Cell and atoms, written as CIF:
```
data_AsRh2Br
_chemical_formula_sum 'As1 Rh2 Br1'
_symmetry_space_group_name_H-M 'P 1'
_symmetry_Int_Tables_number 1
_symmetry_space_group_name_Hall 'P 1'
_cell_length_a 7.214
_cell_length_b 7.214
_cell_length_c 7.214
_cell_angle_alpha 30.74
_cell_angle_beta 30.74
_cell_angle_gamma 30.74
loop_
_atom_site_label
_atom_site_type_symbol
_atom_site_fract_x
_atom_site_fract_y
_atom_site_fract_z
As1 As 0.000 0.000 0.000
Rh1 Rh 0.453 0.453 0.453
Rh2 Rh 0.702 0.702 0.702
Br1 Br 0.176 0.176 0.176
```

=====

3.
This record from the Alexandria database describes AsRh3Br after structural relaxation. The functional is PBE-GGA.

## Properties
SG: Pm-3m, No. 221
Raw formation energy in eV/atom: 0.62
Distance to the lowest polymorph of the same formula in eV per atom: 0.000
Crystal system: cubic

Cell and atoms, written as CIF:
```
data_AsRh3Br
_chemical_formula_sum 'As1 Rh3 Br1'
_symmetry_space_group_name_H-M 'P 1'
_symmetry_Int_Tables_number 1
_symmetry_space_group_name_Hall 'P 1'
_cell_length_a 4.640
_cell_length_b 4.640
_cell_length_c 4.640
_cell_angle_alpha 90.00
_cell_angle_beta 90.00
_cell_angle_gamma 90.00
loop_
_atom_site_label
_atom_site_type_symbol
_atom_site_fract_x
_atom_site_fract_y
_atom_site_fract_z
As1 As 0.000 0.000 0.000
Rh1 Rh 0.000 0.000 0.500
Rh2 Rh 0.000 0.500 0.000
Rh3 Rh 0.500 0.000 0.000
Br1 Br 0.500 0.500 0.500
```

=====

4.
This record from the Alexandria database describes As2RhBr after structural relaxation. The functional is PBE-GGA.

## Properties
SG: I-4m2, No. 119
Raw formation energy in eV/atom: 0.50
Distance to the lowest polymorph of the same formula in eV per atom: 0.644
Crystal system: tetragonal

Cell and atoms, written as CIF:
```
data_As2RhBr
_chemical_formula_sum 'As2 Rh1 Br1'
_symmetry_space_group_name_H-M 'P 1'
_symmetry_Int_Tables_number 1
_symmetry_space_group_name_Hall 'P 1'
_cell_length_a 4.693
_cell_length_b 4.693
_cell_length_c 4.693
_cell_angle_alpha 120.13
_cell_angle_beta 120.13
_cell_angle_gamma 89.78
loop_
_atom_site_label
_atom_site_type_symbol
_atom_site_fract_x
_atom_site_fract_y
_atom_site_fract_z
As1 As 0.000 0.000 0.000
As2 As 0.750 0.250 0.500
Rh1 Rh 0.500 0.500 0.000
Br1 Br 0.250 0.750 0.500
```

=====

5.
This record from the Alexandria database describes AsRhBr2 after structural relaxation. The functional is PBE-GGA.

## Properties
SG: Cmmm, No. 65
Raw formation energy in eV/atom: 0.44
Distance to the lowest polymorph of the same formula in eV per atom: 0.873
Crystal system: orthorhombic

Cell and atoms, written as CIF:
```
data_AsRhBr2
_chemical_formula_sum 'As1 Rh1 Br2'
_symmetry_space_group_name_H-M 'P 1'
_symmetry_Int_Tables_number 1
_symmetry_space_group_name_Hall 'P 1'
_cell_length_a 3.422
_cell_length_b 3.422
_cell_length_c 8.965
_cell_angle_alpha 90.00
_cell_angle_beta 90.00
_cell_angle_gamma 123.13
loop_
_atom_site_label
_atom_site_type_symbol
_atom_site_fract_x
_atom_site_fract_y
_atom_site_fract_z
As1 As 0.000 0.000 0.000
Rh1 Rh 0.000 0.000 0.500
Br1 Br 0.500 0.500 0.287
Br2 Br 0.500 0.500 0.713
```

=====

6.
This record from the Alexandria database describes AsRhBr2 after structural relaxation. The functional is PBE-GGA.

## Properties
SG: Fm-3m, No. 225
Raw formation energy in eV/atom: 0.66
Distance to the lowest polymorph of the same formula in eV per atom: 1.094
Crystal system: cubic

Cell and atoms, written as CIF:
```
data_AsRhBr2
_chemical_formula_sum 'As1 Rh1 Br2'
_symmetry_space_group_name_H-M 'P 1'
_symmetry_Int_Tables_number 1
_symmetry_space_group_name_Hall 'P 1'
_cell_length_a 4.807
_cell_length_b 4.807
_cell_length_c 4.807
_cell_angle_alpha 60.00
_cell_angle_beta 60.00
_cell_angle_gamma 60.00
loop_
_atom_site_label
_atom_site_type_symbol
_atom_site_fract_x
_atom_site_fract_y
_atom_site_fract_z
As1 As 0.000 0.000 0.000
Rh1 Rh 0.500 0.500 0.500
Br1 Br 0.250 0.250 0.250
Br2 Br 0.750 0.750 0.750
```